Record 1
! GGA-PBE GeAuNO, optimized geometry; values from VASP
&SYSTEM
  ibrav = 0, nat = 8, ntyp = 4
/
ATOMIC_SPECIES
Au 196.97 Au.upf
Ge 72.64 Ge.upf
N 14.01 N.upf
O 16.00 O.upf
CELL_PARAMETERS angstrom
-1.529 1.212 2.429
0.223 -4.953 2.611
5.997 1.789 2.881
ATOMIC_POSITIONS crystal
Au 0.000 0.641 0.488
Au 0.000 0.141 0.512
Ge 0.500 0.951 0.134
Ge 0.500 0.451 0.866
N 0.000 0.904 0.275
N 0.000 0.404 0.725
O 0.500 0.258 0.068
O 0.500 0.758 0.932
! E: -5.68 eV/atom
! space group: Pmc2_1, No. 26

=====

Record 2
! GGA-PBE GeW4AuN2, optimized geometry; values from VASP
&SYSTEM
  ibrav = 0, nat = 8, ntyp = 4
/
ATOMIC_SPECIES
Au 196.97 Au.upf
Ge 72.64 Ge.upf
N 14.01 N.upf
W 183.84 W.upf
CELL_PARAMETERS angstrom
-1.158 0.294 2.600
1.075 -2.524 -0.810
13.378 3.930 5.513
ATOMIC_POSITIONS crystal
Au 0.000 0.000 0.000
Ge 0.667 0.333 0.500
N 0.333 0.667 0.258
N 0.333 0.667 0.742
W 0.667 0.333 0.162
W 0.000 0.000 0.354
W 0.000 0.000 0.646
W 0.667 0.333 0.838
! E: -9.31 eV/atom
! space group: P-6m2, No. 187

=====

Record 3
! GGA-PBE Na4Ge2Au7, optimized geometry; values from VASP
&SYSTEM
  ibrav = 0, nat = 13, ntyp = 3
/
ATOMIC_SPECIES
Au 196.97 Au.upf
Ge 72.64 Ge.upf
Na 22.99 Na.upf
CELL_PARAMETERS angstrom
-8.323 -2.926 4.887
-6.829 -7.400 0.566
-3.662 -7.132 6.118
ATOMIC_POSITIONS crystal
Au 0.000 0.000 0.000
Au 0.775 0.775 0.210
Au 0.790 0.225 0.225
Au 0.225 0.790 0.225
Au 0.775 0.210 0.775
Au 0.210 0.775 0.775
Au 0.225 0.225 0.790
Ge 0.457 0.457 0.457
Ge 0.543 0.543 0.543
Na 0.187 0.187 0.187
Na 0.319 0.319 0.319
Na 0.681 0.681 0.681
Na 0.813 0.813 0.813
! E: -3.10 eV/atom
! space group: R-3m, No. 166

=====

Question: What is the E in the second record?
Answer: -9.31 eV/atom